[1]
TeHPd2I: optimized geometry, PBE.

CIF file:
```
data_TeHPd2I
_chemical_formula_sum 'Te1 H1 Pd2 I1'
_symmetry_space_group_name_H-M 'P 4/m m m'
_symmetry_Int_Tables_number 123
_symmetry_space_group_name_Hall '-P 4 2'
_cell_length_a 5.198
_cell_length_b 5.198
_cell_length_c 3.865
_cell_angle_alpha 90.00
_cell_angle_beta 90.00
_cell_angle_gamma 90.00
loop_
_atom_site_label
_atom_site_fract_x
_atom_site_fract_y
_atom_site_fract_z
Te1 0.000 0.000 0.000
H1 0.000 0.000 0.500
Pd1 0.000 0.500 0.000
I1 0.500 0.500 0.500
```

[2]
# Fe2AgPt (PBE, optimized geometry)
# - Formation energy: 58 kJ/mol of formula units
data_Fe2AgPt
_chemical_formula_sum 'Fe4 Ag2 Pt2'
_symmetry_space_group_name_H-M 'C 1 2/m 1'
_symmetry_Int_Tables_number 12
_cell_length_a 8.994
_cell_length_b 2.746
_cell_length_c 4.811
_cell_angle_alpha 90.00
_cell_angle_beta 99.79
_cell_angle_gamma 90.00
loop_
_symmetry_equiv_pos_as_xyz
'x,y,z'
'-x,-y,-z'
'-x,y,-z'
'x,-y,z'
'x+1/2,y+1/2,z'
'-x+1/2,-y+1/2,-z'
'-x+1/2,y+1/2,-z'
'x+1/2,-y+1/2,z'
loop_
_atom_site_label
_atom_site_fract_x
_atom_site_fract_y
_atom_site_fract_z
Fe1 0.246 0.000 0.232
Ag1 0.000 0.000 0.500
Pt1 0.000 0.500 0.000

[3]
# TaTc2Ag (PBE, optimized geometry)
# - Energy above the most stable polymorph in this dataset: 674 meV per atom
# - Formation energy: 328 kJ/mol of formula units
data_TaTc2Ag
_chemical_formula_sum 'Ta4 Tc8 Ag4'
_symmetry_space_group_name_H-M 'I -4 2 d'
_symmetry_Int_Tables_number 122
_symmetry_space_group_name_Hall 'I -4 2bw'
_cell_length_a 3.902
_cell_length_b 3.902
_cell_length_c 18.940
_cell_angle_alpha 90.00
_cell_angle_beta 90.00
_cell_angle_gamma 90.00
loop_
_atom_site_label
_atom_site_fract_x
_atom_site_fract_y
_atom_site_fract_z
Ta1 0.000 0.000 0.000
Tc1 0.190 0.250 0.125
Ag1 0.000 0.000 0.500

[4]
# VOs2Au (PBE, optimized geometry)
# - Energy above the most stable polymorph in this dataset: 326 meV per atom
# - Formation energy: 292 kJ/mol of formula units
data_VOs2Au
_chemical_formula_sum 'V4 Os8 Au4'
_symmetry_space_group_name_H-M 'I -4 2 d'
_symmetry_Int_Tables_number 122
_symmetry_space_group_name_Hall 'I -4 2bw'
_cell_length_a 3.869
_cell_length_b 3.869
_cell_length_c 17.970
_cell_angle_alpha 90.00
_cell_angle_beta 90.00
_cell_angle_gamma 90.00
loop_
_atom_site_label
_atom_site_fract_x
_atom_site_fract_y
_atom_site_fract_z
V1 0.000 0.000 0.000
Os1 0.196 0.250 0.125
Au1 0.000 0.000 0.500

[5]
# Ti2ZnIr2 (PBE, optimized geometry)
# - Formation energy: -226 kJ/mol of formula units
data_Ti2ZnIr2
_chemical_formula_sum 'Ti4 Zn2 Ir4'
_symmetry_space_group_name_H-M 'P 4/m b m'
_symmetry_Int_Tables_number 127
_symmetry_space_group_name_Hall '-P 4 2ab'
_cell_length_a 7.508
_cell_length_b 7.508
_cell_length_c 2.878
_cell_angle_alpha 90.00
_cell_angle_beta 90.00
_cell_angle_gamma 90.00
loop_
_atom_site_label
_atom_site_fract_x
_atom_site_fract_y
_atom_site_fract_z
Ti1 0.150 0.350 0.000
Zn1 0.000 0.000 0.000
Ir1 0.145 0.645 0.500

[6]
# Pu4AgGePd2 (PBE, optimized geometry)
# - Formation energy: -163 kJ/mol of formula units
data_Pu4AgGePd2
_chemical_formula_sum 'Pu12 Ag3 Ge3 Pd6'
_symmetry_space_group_name_H-M 'R -3 m'
_symmetry_Int_Tables_number 166
_symmetry_space_group_name_Hall '-R 3 2"'
_cell_length_a 4.8192
_cell_length_b 4.8192
_cell_length_c 24.1422
_cell_angle_alpha 90.00
_cell_angle_beta 90.00
_cell_angle_gamma 120.00
loop_
_atom_site_label
_atom_site_fract_x
_atom_site_fract_y
_atom_site_fract_z
Pu1 0.0000 0.0000 0.1266
Pu2 0.0000 0.0000 0.2569
Ag1 0.0000 0.0000 0.0000
Ge1 0.0000 0.0000 0.5000
Pd1 0.0000 0.0000 0.3779

[7]
# Na3POs (PBE, optimized geometry)
# - Energy above the most stable polymorph in this dataset: 335 meV per atom
# - Formation energy: 735 kJ/mol of formula units
data_Na3POs
_chemical_formula_sum 'Na3 P1 Os1'
_symmetry_space_group_name_H-M 'P m -3 m'
_symmetry_Int_Tables_number 221
_symmetry_space_group_name_Hall '-P 4 2 3'
_cell_length_a 5.585
_cell_length_b 5.585
_cell_length_c 5.585
_cell_angle_alpha 90.00
_cell_angle_beta 90.00
_cell_angle_gamma 90.00
loop_
_atom_site_label
_atom_site_fract_x
_atom_site_fract_y
_atom_site_fract_z
Na1 0.000 0.000 0.500
P1 0.500 0.500 0.500
Os1 0.000 0.000 0.000

[8]
TaH2Br8: optimized geometry, PBE.

CIF file:
```
data_TaH2Br8
_chemical_formula_sum 'Ta2 H4 Br16'
_symmetry_space_group_name_H-M 'C 1 2/m 1'
_symmetry_Int_Tables_number 12
_cell_length_a 13.484
_cell_length_b 7.170
_cell_length_c 10.310
_cell_angle_alpha 90.00
_cell_angle_beta 121.33
_cell_angle_gamma 90.00
loop_
_symmetry_equiv_pos_as_xyz
'x,y,z'
'-x,-y,-z'
'-x,y,-z'
'x,-y,z'
'x+1/2,y+1/2,z'
'-x+1/2,-y+1/2,-z'
'-x+1/2,y+1/2,-z'
'x+1/2,-y+1/2,z'
loop_
_atom_site_label
_atom_site_fract_x
_atom_site_fract_y
_atom_site_fract_z
Ta1 0.000 0.000 0.000
H1 0.236 0.000 0.431
Br1 0.022 0.000 0.260
Br2 0.138 0.500 0.474
Br3 0.155 0.247 0.088
```

Number 1: total energy -17.34 eV/cell, magnetic moment 0.0 μB/cell. Number 2: total energy -50.43 eV/cell, magnetic moment 12.0 μB/cell. Number 3: total energy -128.15 eV/cell, magnetic moment 0.0 μB/cell. Number 4: total energy -127.32 eV/cell, magnetic moment 3.1 μB/cell. Number 5: total energy -74.27 eV/cell, magnetic moment 0.0 μB/cell. Number 6: total energy -230.61 eV/cell, magnetic moment 0.7 μB/cell. Number 7: total energy -12.98 eV/cell, magnetic moment 4.0 μB/cell. Number 8: total energy -75.10 eV/cell, magnetic moment 0.0 μB/cell.